VASP calculation (GGA-PBE) on a relaxed structure of Pr4Nd5Ho2.

Output
**Energy above the lowest structure with this stoichiometry**: 0 meV per atom
**Fermi-level density of states**: 16.7 states/eV/f.u.
**Formation energy**: 0.9 eV/f.u.
**M_tot**: 0.00 μB per formula unit
**Total DFT energy (no corrections)**: -0.1710 hartree per atom

Cell lengths 9.083, 3.567, 11.970 Å; angles 90.00, 94.39, 90.00 degrees
Space group P2/m (No. 10)
One atom of each set of equivalent atoms:
Pr 0.155 0.000 0.392
Pr 0.285 0.000 0.950
Nd 0.198 0.500 0.670
Nd 0.427 0.500 0.208
Nd 0.500 0.500 0.500
Ho 0.057 0.500 0.135